1.
A geometry-optimized BeZn2BAu structure, computed with PBE.

It has space group P4/mmm (No. 123), with a = 4.486 Å, b = 4.486 Å, c = 3.523 Å, α = 90.00°, β = 90.00° and γ = 90.00°. Symmetry generates all atoms from Be at (0.000, 0.000, 0.000), Zn at (0.000, 0.500, 0.000), B at (0.000, 0.000, 0.500) and Au at (0.500, 0.500, 0.500).

For the total magnetization, the calculation gives 0.00 μB/f.u. Its density of states at the Fermi level is 1.243 states/eV per cell. Its energy relative to the elements is 559.9 meV per atom. As for the total energy: -0.1974 Ry per atom.

2.
A geometry-optimized BiBAu3 structure, computed with PBE.

It has space group Pm-3m (No. 221), with a = 5.421 Å, b = 5.421 Å, c = 5.421 Å, α = 90.00°, β = 90.00° and γ = 90.00°. Symmetry generates all atoms from Bi at (0.000, 0.000, 0.000), B at (0.500, 0.500, 0.500) and Au at (0.000, 0.000, 0.500).

For the total magnetization, the calculation gives 0.00 μB/f.u. The relative energy among the computed polymorphs is 1.213 eV per atom. Its density of states at the Fermi level is 3.570 states/eV per cell. Its energy relative to the elements is 1511.5 meV per atom. As for the total energy: -0.1886 Ry per atom.

3.
A geometry-optimized Bi2BAu structure, computed with PBE.

It has space group I-42d (No. 122), with a = 6.230 Å, b = 6.230 Å, c = 11.027 Å, α = 90.00°, β = 90.00° and γ = 90.00°. Symmetry generates all atoms from Bi at (0.197, 0.250, 0.125), B at (0.000, 0.000, 0.000) and Au at (0.000, 0.000, 0.500).

For the total magnetization, the calculation gives 0.00 μB/f.u. Its density of states at the Fermi level is 1.603 states/eV per cell. Its energy relative to the elements is 525.3 meV per atom. As for the total energy: -0.2869 Ry per atom.

4.
A geometry-optimized BiB3Au structure, computed with PBE.

It has space group Pm-3m (No. 221), with a = 4.713 Å, b = 4.713 Å, c = 4.713 Å, α = 90.00°, β = 90.00° and γ = 90.00°. Symmetry generates all atoms from Bi at (0.000, 0.000, 0.000), B at (0.000, 0.000, 0.500) and Au at (0.500, 0.500, 0.500).

For the total magnetization, the calculation gives 0.00 μB/f.u. The relative energy among the computed polymorphs is 0.860 eV per atom. Its density of states at the Fermi level is 2.802 states/eV per cell. Its energy relative to the elements is 2540.3 meV per atom. As for the total energy: -0.2130 Ry per atom.

5.
A geometry-optimized BiB2Au structure, computed with PBE.

It has space group I-42d (No. 122), with a = 5.164 Å, b = 5.164 Å, c = 11.068 Å, α = 90.00°, β = 90.00° and γ = 90.00°. Symmetry generates all atoms from Bi at (0.000, 0.000, 0.000), B at (0.200, 0.250, 0.625) and Au at (0.000, 0.000, 0.500).

For the total magnetization, the calculation gives 0.00 μB/f.u. Its density of states at the Fermi level is 8.753 states/eV per cell. Its energy relative to the elements is 932.0 meV per atom. As for the total energy: -0.3084 Ry per atom.

6.
A geometry-optimized BiB3Au structure, computed with PBE.

It has space group Pm-3m (No. 221), with a = 4.347 Å, b = 4.347 Å, c = 4.347 Å, α = 90.00°, β = 90.00° and γ = 90.00°. Symmetry generates all atoms from Bi at (0.000, 0.000, 0.000), B at (0.000, 0.500, 0.500) and Au at (0.500, 0.500, 0.500).

For the total magnetization, the calculation gives 0.00 μB/f.u. The relative energy among the computed polymorphs is 0.000 eV per atom. Its density of states at the Fermi level is 3.348 states/eV per cell. Its energy relative to the elements is 1680.7 meV per atom. As for the total energy: -0.2762 Ry per atom.

7.
A geometry-optimized BiBAu3 structure, computed with PBE.

It has space group Pm-3m (No. 221), with a = 4.547 Å, b = 4.547 Å, c = 4.547 Å, α = 90.00°, β = 90.00° and γ = 90.00°. Symmetry generates all atoms from Bi at (0.000, 0.000, 0.000), B at (0.500, 0.500, 0.500) and Au at (0.000, 0.500, 0.500).

For the total magnetization, the calculation gives 0.00 μB/f.u. The relative energy among the computed polymorphs is 0.000 eV per atom. Its density of states at the Fermi level is 1.663 states/eV per cell. Its energy relative to the elements is 298.3 meV per atom. As for the total energy: -0.2778 Ry per atom.

8.
A geometry-optimized Bi2BAu2 structure, computed with PBE.

It has space group P4/mbm (No. 127), with a = 6.258 Å, b = 6.258 Å, c = 5.961 Å, α = 90.00°, β = 90.00° and γ = 90.00°. Symmetry generates all atoms from Bi at (0.209, 0.291, 0.000), B at (0.000, 0.000, 0.500) and Au at (0.247, 0.253, 0.500).

For the total magnetization, the calculation gives 0.00 μB/f.u. The relative energy among the computed polymorphs is 0.000 eV per atom. Its density of states at the Fermi level is 4.109 states/eV per cell. Its energy relative to the elements is 339.2 meV per atom. As for the total energy: -0.2837 Ry per atom.

9.
A geometry-optimized Bi2BAu2 structure, computed with PBE.

It has space group I4/mmm (No. 139), with a = 5.984 Å, b = 5.984 Å, c = 6.760 Å, α = 90.00°, β = 90.00° and γ = 90.00°. Symmetry generates all atoms from Bi at (0.000, 0.500, 0.250), B at (0.000, 0.000, 0.000) and Au at (0.000, 0.000, 0.299).

For the total magnetization, the calculation gives 0.00 μB/f.u. The relative energy among the computed polymorphs is 0.150 eV per atom. Its density of states at the Fermi level is 6.244 states/eV per cell. Its energy relative to the elements is 489.4 meV per atom. As for the total energy: -0.2726 Ry per atom.

10.
A geometry-optimized BiBAu2Br structure, computed with PBE.

It has space group P4/mmm (No. 123), with a = 4.401 Å, b = 4.401 Å, c = 5.554 Å, α = 90.00°, β = 90.00° and γ = 90.00°. Symmetry generates all atoms from Bi at (0.000, 0.000, 0.000), B at (0.000, 0.000, 0.500), Au at (0.000, 0.500, 0.500) and Br at (0.500, 0.500, 0.000).

For the total magnetization, the calculation gives 0.00 μB/f.u. As for the formation energy from raw total energies: 0.35 eV/atom. Its density of states at the Fermi level is 3.355 states/eV per cell. As for the total energy: -0.2506 Ry per atom.

11.
A geometry-optimized FeBiB2Au structure, computed with PBE.

It has space group P4/mmm (No. 123), with a = 4.609 Å, b = 4.609 Å, c = 5.508 Å, α = 90.00°, β = 90.00° and γ = 90.00°. Symmetry generates all atoms from Fe at (0.000, 0.000, 0.000), Bi at (0.500, 0.500, 0.500), B at (0.000, 0.500, 0.500) and Au at (0.500, 0.500, 0.000).

For the total magnetization, the calculation gives 3.19 μB/f.u. Its density of states at the Fermi level is 5.477 states/eV per cell. Its energy relative to the elements is 2295.2 meV per atom. As for the total energy: -0.2572 Ry per atom.

12.
A geometry-optimized BiBPbAu2 structure, computed with PBE.

It has space group P4/mmm (No. 123), with a = 5.245 Å, b = 5.245 Å, c = 6.205 Å, α = 90.00°, β = 90.00° and γ = 90.00°. Symmetry generates all atoms from Bi at (0.000, 0.000, 0.000), B at (0.500, 0.500, 0.000), Pb at (0.000, 0.000, 0.500) and Au at (0.000, 0.500, 0.500).

For the total magnetization, the calculation gives 0.00 μB/f.u. Its density of states at the Fermi level is 3.887 states/eV per cell. Its energy relative to the elements is 1572.1 meV per atom. As for the total energy: -0.1905 Ry per atom.

13.
A geometry-optimized Bi2BPtAu structure, computed with PBE.

It has space group P4/mmm (No. 123), with a = 5.557 Å, b = 5.557 Å, c = 3.971 Å, α = 90.00°, β = 90.00° and γ = 90.00°. Symmetry generates all atoms from Bi at (0.000, 0.500, 0.000), B at (0.000, 0.000, 0.500), Pt at (0.000, 0.000, 0.000) and Au at (0.500, 0.500, 0.500).

For the total magnetization, the calculation gives 0.00 μB/f.u. Its density of states at the Fermi level is 2.946 states/eV per cell. Its energy relative to the elements is 405.1 meV per atom. As for the total energy: -0.3195 Ry per atom.